No. 1
Below is crystalline BeAlPd at its relaxed geometry, with properties calculated at the PBE level.

```
data_BeAlPd
_chemical_formula_sum 'Be2 Al2 Pd2'
_space_group_name_H-M_alt 'P 1'
_space_group_IT_number 1
_space_group_name_Hall 'P 1'
_cell_length_a 11.7885
_cell_length_b 11.7885
_cell_length_c 11.7885
_cell_angle_alpha 13.79
_cell_angle_beta 13.79
_cell_angle_gamma 13.79
loop_
_atom_site_label
_atom_site_type_symbol
_atom_site_fract_x
_atom_site_fract_y
_atom_site_fract_z
Be1 Be 0.0000 0.0000 0.0000
Be2 Be 0.1164 0.1164 0.1164
Al1 Al 0.7248 0.7248 0.7248
Al2 Al 0.8917 0.8917 0.8917
Pd1 Pd 0.2842 0.2842 0.2842
Pd2 Pd 0.4991 0.4991 0.4991
```

Output
ΔH_f (0 K) in meV per atom: -241.4
Calculated volume in Å³/f.u.: 41
Polymorph energy (0 for the lowest one) in eV/atom: 0.2744

=====

No. 2
Below is crystalline LiLa2TlH at its relaxed geometry, with properties calculated at the PBE level.

```
data_LiLa2TlH
_chemical_formula_sum 'Li1 La2 Tl1 H1'
_space_group_name_H-M_alt 'P 1'
_space_group_IT_number 1
_space_group_name_Hall 'P 1'
_cell_length_a 5.0934
_cell_length_b 5.0934
_cell_length_c 4.5356
_cell_angle_alpha 90.00
_cell_angle_beta 90.00
_cell_angle_gamma 90.00
loop_
_atom_site_label
_atom_site_type_symbol
_atom_site_fract_x
_atom_site_fract_y
_atom_site_fract_z
Li1 Li 0.0000 0.0000 0.0000
La1 La 0.0000 0.5000 0.5000
La2 La 0.5000 0.0000 0.5000
Tl1 Tl 0.5000 0.5000 0.0000
H1 H 0.0000 0.0000 0.5000
```

Output
Calculated volume in Å³/f.u.: 118
Polymorph energy (0 for the lowest one) in eV/atom: 0.0000

=====

No. 3
Below is crystalline Hg3PbF at its relaxed geometry, with properties calculated at the PBE level.

```
data_Hg3PbF
_chemical_formula_sum 'Hg3 Pb1 F1'
_space_group_name_H-M_alt 'P 1'
_space_group_IT_number 1
_space_group_name_Hall 'P 1'
_cell_length_a 5.8023
_cell_length_b 5.8023
_cell_length_c 5.8023
_cell_angle_alpha 90.00
_cell_angle_beta 90.00
_cell_angle_gamma 90.00
loop_
_atom_site_label
_atom_site_type_symbol
_atom_site_fract_x
_atom_site_fract_y
_atom_site_fract_z
Hg1 Hg 0.0000 0.0000 0.5000
Hg2 Hg 0.0000 0.5000 0.0000
Hg3 Hg 0.5000 0.0000 0.0000
Pb1 Pb 0.0000 0.0000 0.0000
F1 F 0.5000 0.5000 0.5000
```

Output
Formation energy from raw total energies in kJ/mol of atoms: -11.30
Calculated volume in Å³/f.u.: 195
Polymorph energy (0 for the lowest one) in eV/atom: 0.1038

=====

No. 4
Below is crystalline KRbPtO3 at its relaxed geometry, with properties calculated at the PBE level.

```
data_KRbPtO3
_chemical_formula_sum 'K2 Rb2 Pt2 O6'
_space_group_name_H-M_alt 'P 1'
_space_group_IT_number 1
_space_group_name_Hall 'P 1'
_cell_length_a 6.6428
_cell_length_b 6.6428
_cell_length_c 6.2506
_cell_angle_alpha 90.00
_cell_angle_beta 90.00
_cell_angle_gamma 124.94
loop_
_atom_site_label
_atom_site_type_symbol
_atom_site_fract_x
_atom_site_fract_y
_atom_site_fract_z
K1 K 0.0996 0.9004 0.7500
K2 K 0.9004 0.0996 0.2500
Rb1 Rb 0.2146 0.7854 0.2500
Rb2 Rb 0.7854 0.2146 0.7500
Pt1 Pt 0.4818 0.5182 0.7500
Pt2 Pt 0.5182 0.4818 0.2500
O1 O 0.2910 0.2910 0.0000
O2 O 0.2910 0.2910 0.5000
O3 O 0.3115 0.6885 0.7500
O4 O 0.6885 0.3115 0.2500
O5 O 0.7090 0.7090 0.0000
O6 O 0.7090 0.7090 0.5000
```

Output
Formation energy from raw total energies in kJ/mol of atoms: -83.58
Calculated volume in Å³/f.u.: 113

=====

No. 5
Below is crystalline CoPbSe2 at its relaxed geometry, with properties calculated at the PBE level.

```
data_CoPbSe2
_chemical_formula_sum 'Co1 Pb1 Se2'
_space_group_name_H-M_alt 'P 1'
_space_group_IT_number 1
_space_group_name_Hall 'P 1'
_cell_length_a 5.9129
_cell_length_b 5.9129
_cell_length_c 5.0706
_cell_angle_alpha 114.21
_cell_angle_beta 114.21
_cell_angle_gamma 34.24
loop_
_atom_site_label
_atom_site_type_symbol
_atom_site_fract_x
_atom_site_fract_y
_atom_site_fract_z
Co1 Co 0.0000 0.0000 0.0000
Pb1 Pb 0.7434 0.7434 0.9829
Se1 Se 0.4150 0.4150 0.6662
Se2 Se 0.5676 0.5676 0.3326
```

Output
Formation energy from raw total energies in kJ/mol of atoms: -14.60
Calculated volume in Å³/f.u.: 90

=====

No. 6
Below is crystalline Nd6TeAs4 at its relaxed geometry, with properties calculated at the PBE level.

```
data_Nd6TeAs4
_chemical_formula_sum 'Nd12 Te2 As8'
_space_group_name_H-M_alt 'P 1'
_space_group_IT_number 1
_space_group_name_Hall 'P 1'
_cell_length_a 7.3737
_cell_length_b 7.3737
_cell_length_c 21.5968
_cell_angle_alpha 90.00
_cell_angle_beta 90.00
_cell_angle_gamma 146.33
loop_
_atom_site_label
_atom_site_type_symbol
_atom_site_fract_x
_atom_site_fract_y
_atom_site_fract_z
Nd1 Nd 0.0000 0.0000 0.0000
Nd2 Nd 0.0000 0.0000 0.5000
Nd3 Nd 0.1687 0.8313 0.7500
Nd4 Nd 0.2736 0.7264 0.0803
Nd5 Nd 0.2736 0.7264 0.4197
Nd6 Nd 0.4607 0.5393 0.6596
Nd7 Nd 0.4607 0.5393 0.8404
Nd8 Nd 0.5393 0.4607 0.1596
Nd9 Nd 0.5393 0.4607 0.3404
Nd10 Nd 0.7264 0.2736 0.5803
Nd11 Nd 0.7264 0.2736 0.9197
Nd12 Nd 0.8313 0.1687 0.2500
Te1 Te 0.1619 0.8381 0.2500
Te2 Te 0.8381 0.1619 0.7500
As1 As 0.0925 0.9075 0.6256
As2 As 0.0925 0.9075 0.8744
As3 As 0.3630 0.6370 0.5424
As4 As 0.3630 0.6370 0.9576
As5 As 0.6370 0.3630 0.0424
As6 As 0.6370 0.3630 0.4576
As7 As 0.9075 0.0925 0.1256
As8 As 0.9075 0.0925 0.3744
```

Output
Formation energy from raw total energies in kJ/mol of atoms: -131.82
Calculated volume in Å³/f.u.: 326

=====

No. 7
Below is crystalline MnNiPdRh at its relaxed geometry, with properties calculated at the PBE level.

```
data_MnNiPdRh
_chemical_formula_sum 'Mn1 Ni1 Pd1 Rh1'
_space_group_name_H-M_alt 'P 1'
_space_group_IT_number 1
_space_group_name_Hall 'P 1'
_cell_length_a 4.2649
_cell_length_b 4.2649
_cell_length_c 4.2649
_cell_angle_alpha 60.00
_cell_angle_beta 60.00
_cell_angle_gamma 60.00
loop_
_atom_site_label
_atom_site_type_symbol
_atom_site_fract_x
_atom_site_fract_y
_atom_site_fract_z
Mn1 Mn 0.0000 0.0000 0.0000
Ni1 Ni 0.5000 0.5000 0.5000
Pd1 Pd 0.2500 0.2500 0.2500
Rh1 Rh 0.7500 0.7500 0.7500
```

Output
ΔH_f (0 K) in meV per atom: -27.4
Calculated volume in Å³/f.u.: 55

=====

No. 8
Below is crystalline ZrTi3Tl3Se8 at its relaxed geometry, with properties calculated at the PBE level.

```
data_ZrTi3Tl3Se8
_chemical_formula_sum 'Zr1 Ti3 Tl3 Se8'
_space_group_name_H-M_alt 'P 1'
_space_group_IT_number 1
_space_group_name_Hall 'P 1'
_cell_length_a 7.3883
_cell_length_b 7.3883
_cell_length_c 9.1980
_cell_angle_alpha 113.77
_cell_angle_beta 113.77
_cell_angle_gamma 59.97
loop_
_atom_site_label
_atom_site_type_symbol
_atom_site_fract_x
_atom_site_fract_y
_atom_site_fract_z
Zr1 Zr 0.0000 0.0000 0.0000
Ti1 Ti 0.0000 0.5000 0.0000
Ti2 Ti 0.5000 0.0000 0.0000
Ti3 Ti 0.5000 0.5000 0.0000
Tl1 Tl 0.0000 0.0000 0.5000
Tl2 Tl 0.0000 0.5000 0.5000
Tl3 Tl 0.5000 0.0000 0.5000
Se1 Se 0.2372 0.2372 0.1932
Se2 Se 0.2372 0.7192 0.1932
Se3 Se 0.2720 0.2720 0.8163
Se4 Se 0.2808 0.7628 0.8068
Se5 Se 0.7192 0.2372 0.1932
Se6 Se 0.7280 0.7280 0.1837
Se7 Se 0.7628 0.2808 0.8068
Se8 Se 0.7628 0.7628 0.8068
```

Output
Formation energy from raw total energies in kJ/mol of atoms: -92.97
Calculated volume in Å³/f.u.: 385

=====

Which formula does entry 8 have? ZrTi3Tl3Se8